No. 1
Entry from Alexandria via LeMat-Bulk: a relaxed Nd8Sm3Dy crystal (PBE-GGA).

Results
DFT formation energy: 0.310 eV per atom
raw total energy: -4.432 eV per atom

Cell lengths 6.6763, 11.3839, 11.7002 Å; angles 90.00, 90.00, 90.00 degrees
Space group I222 (No. 23)
Asymmetric unit:
Nd 0.0000 0.1638 0.2494 x8
Nd 0.2443 0.2566 0.4989 x8
Sm 0.0000 0.0000 0.5000 x2
Sm 0.0000 0.5000 0.2546 x4
Dy 0.0000 0.0000 0.0000 x2


No. 2
Entry from Alexandria via LeMat-Bulk: a relaxed NdSm3Dy5 crystal (PBE-GGA).

Results
DFT formation energy: 0.310 eV per atom
raw total energy: -4.350 eV per atom

Cell lengths 20.2530, 6.1081, 11.5225 Å; angles 90.00, 121.71, 90.00 degrees
Space group C2/c (No. 15)
Asymmetric unit:
Nd 0.0000 0.1027 0.2500 x4
Sm 0.0000 0.0000 0.0000 x4
Sm 0.1829 0.2151 0.5383 x8
Dy 0.0000 0.4128 0.7500 x4
Dy 0.1400 0.3197 0.1415 x8
Dy 0.1791 0.2027 0.8378 x8


No. 3
Entry from Alexandria via LeMat-Bulk: a relaxed NdSmDy3 crystal (PBE-GGA).

Results
DFT formation energy: 0.174 eV per atom
raw total energy: -4.485 eV per atom

Cell lengths 6.5289, 6.5464, 9.6171 Å; angles 90.20, 109.18, 119.84 degrees
Space group P-1 (No. 2)
Asymmetric unit:
Nd 0.0000 0.0000 0.0000 x1
Nd 0.0000 0.5000 0.5000 x1
Sm 0.2953 0.4400 0.3099 x2
Dy 0.1305 0.1399 0.6875 x2
Dy 0.3060 0.6523 0.9537 x2
Dy 0.4493 0.0122 0.3121 x2


No. 4
Entry from Alexandria via LeMat-Bulk: a relaxed Nd5Sm2Dy3 crystal (PBE-GGA).

Results
DFT formation energy: 0.183 eV per atom
raw total energy: -4.526 eV per atom

Cell lengths 10.8587, 15.0020, 10.0387 Å; angles 90.00, 122.59, 90.00 degrees
Space group C2/c (No. 15)
Asymmetric unit:
Nd 0.0000 0.0245 0.2500 x4
Nd 0.0000 0.2307 0.2500 x4
Nd 0.0000 0.2712 0.7500 x4
Nd 0.2422 0.1219 0.7372 x8
Sm 0.1503 0.3772 0.5570 x8
Dy 0.0000 0.4800 0.7500 x4
Dy 0.1570 0.1239 0.0546 x8


No. 5
Entry from Alexandria via LeMat-Bulk: a relaxed Nd2Sm8Dy crystal (PBE-GGA).

Results
DFT formation energy: 0.155 eV per atom
raw total energy: -4.562 eV per atom

Cell lengths 16.7588, 6.7950, 6.7767 Å; angles 90.00, 100.50, 90.00 degrees
Space group C2/m (No. 12)
Asymmetric unit:
Nd 0.1977 0.0000 0.3029 x4
Sm 0.0875 0.2626 0.9040 x8
Sm 0.0896 0.5000 0.4103 x4
Sm 0.2440 0.0000 0.8112 x4
Dy 0.0000 0.0000 0.5000 x2


No. 6
Entry from Alexandria via LeMat-Bulk: a relaxed Nd3SmDy7 crystal (PBE-GGA).

Results
DFT formation energy: 0.176 eV per atom
raw total energy: -4.482 eV per atom

Cell lengths 7.0948, 7.0948, 8.7172 Å; angles 90.00, 90.00, 120.00 degrees
Space group P3m1 (No. 156)
Asymmetric unit:
Nd 0.9996 0.4998 0.0000 x3
Sm 0.3333 0.6667 0.3397 x1
Dy 0.1673 0.3346 0.6638 x3
Dy 0.3350 0.1675 0.3383 x3
Dy 0.6667 0.3333 0.6611 x1


No. 7
Entry from Alexandria via LeMat-Bulk: a relaxed Nd8SmDy6 crystal (PBE-GGA).

Results
DFT formation energy: 0.124 eV per atom
raw total energy: -4.574 eV per atom

Cell lengths 9.1653, 9.1653, 20.9929 Å; angles 90.00, 90.00, 120.00 degrees
Space group R-3 (No. 148, hexagonal axes)
Asymmetric unit:
Nd 0.0000 0.0000 0.0778 x6
Nd 0.0805 0.5236 0.3066 x18
Sm 0.0000 0.0000 0.5000 x3
Dy 0.0465 0.8030 0.2058 x18


No. 8
Entry from Alexandria via LeMat-Bulk: a relaxed Nd3SmDy6 crystal (PBE-GGA).

Results
DFT formation energy: 0.147 eV per atom
raw total energy: -4.516 eV per atom

Cell lengths 11.0009, 18.9767, 6.3671 Å; angles 90.00, 90.00, 90.00 degrees
Space group Cmc2_1 (No. 36)
Asymmetric unit:
Nd 0.0000 0.1121 0.0000 x4
Nd 0.1766 0.3864 0.6089 x8
Sm 0.0000 0.3053 0.9414 x4
Dy 0.0000 0.2272 0.4217 x4
Dy 0.0000 0.4612 0.2022 x4
Dy 0.1674 0.0451 0.5243 x8
Dy 0.2396 0.2095 0.6990 x8


No. 9
Entry from Alexandria via LeMat-Bulk: a relaxed Nd7Sm3Dy crystal (PBE-GGA).

Results
DFT formation energy: 0.180 eV per atom
raw total energy: -4.560 eV per atom

Cell lengths 19.3745, 7.2751, 12.6464 Å; angles 90.00, 115.79, 90.00 degrees
Space group C2/c (No. 15)
Asymmetric unit:
Nd 0.0000 0.2245 0.2500 x4
Nd 0.1602 0.4972 0.7755 x8
Nd 0.1672 0.2470 0.0292 x8
Nd 0.1680 0.2492 0.5298 x8
Sm 0.0000 0.5000 0.0000 x4
Sm 0.1675 0.0008 0.7751 x8
Dy 0.0000 0.0000 0.0000 x4


No. 10
Entry from Alexandria via LeMat-Bulk: a relaxed Nd7SmDy2 crystal (PBE-GGA).

Results
DFT formation energy: 0.637 eV per atom
raw total energy: -4.093 eV per atom

Cell lengths 8.9285, 16.3544, 5.7172 Å; angles 90.00, 90.00, 90.00 degrees
Space group Cmmm (No. 65)
Asymmetric unit:
Nd 0.0000 0.0000 0.0000 x2
Nd 0.0000 0.2752 0.5000 x4
Nd 0.1793 0.3852 0.0000 x8
Sm 0.0000 0.5000 0.5000 x2
Dy 0.0000 0.2044 0.0000 x4


No. 11
Entry from Alexandria via LeMat-Bulk: a relaxed Nd15Sm4Dy crystal (PBE-GGA).

Results
DFT formation energy: 0.014 eV per atom
raw total energy: -4.736 eV per atom

Cell lengths 5.1870, 5.1870, 25.8653 Å; angles 90.00, 90.00, 90.00 degrees
Space group P4/mmm (No. 123)
Asymmetric unit:
Nd 0.0000 0.0000 0.0000 x1
Nd 0.0000 0.0000 0.1992 x2
Nd 0.0000 0.0000 0.3999 x2
Nd 0.0000 0.5000 0.0991 x4
Nd 0.0000 0.5000 0.2996 x4
Nd 0.0000 0.5000 0.5000 x2
Sm 0.5000 0.5000 0.1993 x2
Sm 0.5000 0.5000 0.3998 x2
Dy 0.5000 0.5000 0.0000 x1


No. 12
Entry from Alexandria via LeMat-Bulk: a relaxed NdSm5Dy3 crystal (PBE-GGA).

Results
DFT formation energy: 0.173 eV per atom
raw total energy: -4.513 eV per atom

Cell lengths 16.4355, 6.7654, 11.5788 Å; angles 90.00, 109.85, 90.00 degrees
Space group C2/c (No. 15)
Asymmetric unit:
Nd 0.0000 0.2385 0.2500 x4
Sm 0.0000 0.3148 0.7500 x4
Sm 0.1104 0.4969 0.0504 x8
Sm 0.1727 0.0962 0.8514 x8
Dy 0.0000 0.0000 0.0000 x4
Dy 0.2402 0.3972 0.3703 x8


No. 13
Entry from Alexandria via LeMat-Bulk: a relaxed Nd4SmDy5 crystal (PBE-GGA).

Results
DFT formation energy: 0.240 eV per atom
raw total energy: -4.441 eV per atom

Cell lengths 10.6635, 10.6635, 6.0303 Å; angles 90.00, 90.00, 90.00 degrees
Space group I4mm (No. 107)
Asymmetric unit:
Nd 0.0000 0.3248 0.0000 x8
Sm 0.0000 0.0000 0.7476 x2
Dy 0.0000 0.0000 0.2202 x2
Dy 0.1890 0.1890 0.4811 x8


No. 14
Entry from Alexandria via LeMat-Bulk: a relaxed NdSm3Dy4 crystal (PBE-GGA).

Results
DFT formation energy: 0.133 eV per atom
raw total energy: -4.534 eV per atom

Cell lengths 3.4580, 11.6803, 13.0869 Å; angles 90.00, 90.00, 90.00 degrees
Space group Immm (No. 71)
Asymmetric unit:
Nd 0.0000 0.0000 0.0000 x2
Sm 0.0000 0.0000 0.5000 x2
Sm 0.0000 0.5000 0.2583 x4
Dy 0.0000 0.2494 0.1347 x8


No. 15
Entry from Alexandria via LeMat-Bulk: a relaxed Nd3Sm4Dy4 crystal (PBE-GGA).

Results
DFT formation energy: 0.153 eV per atom
raw total energy: -4.537 eV per atom

Cell lengths 10.7307, 5.7594, 12.1046 Å; angles 90.00, 90.00, 90.00 degrees
Space group Amm2 (No. 38)
Asymmetric unit:
Nd 0.0000 0.0000 0.0000 x2
Nd 0.2927 0.0000 0.1539 x4
Sm 0.0000 0.0000 0.7051 x2
Sm 0.2121 0.0000 0.4980 x4
Sm 0.5000 0.0000 0.6312 x2
Dy 0.0000 0.0000 0.3005 x2
Dy 0.3001 0.0000 0.8492 x4
Dy 0.5000 0.0000 0.3596 x2


No. 16
Entry from Alexandria via LeMat-Bulk: a relaxed Nd3Sm4Dy2 crystal (PBE-GGA).

Results
DFT formation energy: 0.067 eV per atom
raw total energy: -4.642 eV per atom

Cell lengths 3.6315, 3.6315, 26.9630 Å; angles 90.00, 90.00, 120.00 degrees
Space group P3m1 (No. 156)
Asymmetric unit:
Nd 0.0000 0.0000 0.0000 x1
Nd 0.0000 0.0000 0.3382 x1
Nd 0.6667 0.3333 0.6718 x1
Sm 0.0000 0.0000 0.5600 x1
Sm 0.0000 0.0000 0.7837 x1
Sm 0.6667 0.3333 0.2309 x1
Sm 0.6667 0.3333 0.4521 x1
Dy 0.6667 0.3333 0.1054 x1
Dy 0.6667 0.3333 0.8893 x1


No. 17
Entry from Alexandria via LeMat-Bulk: a relaxed Nd2Sm4Dy3 crystal (PBE-GGA).

Results
DFT formation energy: 0.080 eV per atom
raw total energy: -4.611 eV per atom

Cell lengths 19.8903, 3.5475, 8.7231 Å; angles 90.00, 99.05, 90.00 degrees
Space group C2/m (No. 12)
Asymmetric unit:
Nd 0.1672 0.0000 0.0429 x4
Sm 0.0485 0.0000 0.6845 x4
Sm 0.2200 0.0000 0.6489 x4
Dy 0.0000 0.5000 0.0000 x2
Dy 0.1060 0.5000 0.3610 x4


No. 18
Entry from Alexandria via LeMat-Bulk: a relaxed NdSm2Dy2 crystal (PBE-GGA).

Results
DFT formation energy: 0.114 eV per atom
raw total energy: -4.568 eV per atom

Cell lengths 3.7939, 13.2227, 13.4385 Å; angles 90.00, 90.00, 90.00 degrees
Space group Cmc2_1 (No. 36)
Asymmetric unit:
Nd 0.0000 0.1053 0.0000 x4
Sm 0.0000 0.2370 0.3490 x4
Sm 0.0000 0.4999 0.2472 x4
Dy 0.0000 0.2343 0.6491 x4
Dy 0.0000 0.4012 0.9987 x4


No. 19
Entry from Alexandria via LeMat-Bulk: a relaxed Nd12SmDy7 crystal (PBE-GGA).

Results
DFT formation energy: 0.242 eV per atom
raw total energy: -4.466 eV per atom

Cell lengths 19.6837, 19.6837, 6.2405 Å; angles 90.00, 90.00, 120.00 degrees
Space group R-3 (No. 148, hexagonal axes)
Asymmetric unit:
Nd 0.9997 0.4121 0.4991 x18
Nd 0.0973 0.5482 0.9662 x18
Sm 0.0000 0.0000 0.0000 x3
Dy 0.0000 0.0000 0.5000 x3
Dy 0.0814 0.1638 0.7923 x18